VASP calculation (PBE) on CsPaH2Cl8 after structural relaxation.

Cell lengths 7.1529, 6.9603, 9.8413 Å; angles 113.96, 77.40, 103.66 degrees
Element x y z (fractional)
Cl 0.9206 0.2619 0.2696
Cl 0.8615 0.2098 0.8951
Cl 0.5158 0.6999 0.3705
Cl 0.0794 0.7381 0.7304
Cl 0.3344 0.2299 0.9774
Cl 0.1385 0.7902 0.1049
Cl 0.4842 0.3001 0.6295
Cl 0.6656 0.7701 0.0226
Cs 0.0000 0.0000 0.5000
H 0.4314 0.2863 0.7616
H 0.5686 0.7137 0.2384
Pa 0.0000 0.0000 0.0000

Calculated values
**Symmetry**: No. 2
**Crystal system**: triclinic
**VASP energy**: -0.15191 hartree per atom
**Magnetization**: 0.00 μB per cell